SrBiAu5: relaxed, PBE.

Summary:
- DOS at the Fermi energy: 7.4 states/eV per cell
- Formation energy from the elements: -369 meV per atom

Cell and atoms, written as POSCAR:
```
SrBiAu5
1.0
-2.988 3.756 3.205
-4.199 -7.292 4.629
8.516 0.078 7.848
Au Sr Bi
20 4 4
direct
0.750 0.916 0.519 Au
0.750 0.068 0.907 Au
0.250 0.932 0.093 Au
0.750 0.324 0.748 Au
0.250 0.584 0.019 Au
0.504 0.923 0.309 Au
0.750 0.416 0.981 Au
0.996 0.423 0.191 Au
0.496 0.577 0.809 Au
0.250 0.432 0.407 Au
0.004 0.077 0.691 Au
0.504 0.423 0.191 Au
0.250 0.676 0.252 Au
0.750 0.568 0.593 Au
0.250 0.176 0.248 Au
0.496 0.077 0.691 Au
0.004 0.577 0.809 Au
0.250 0.084 0.481 Au
0.996 0.923 0.309 Au
0.750 0.824 0.752 Au
0.250 0.252 0.942 Sr
0.750 0.748 0.058 Sr
0.750 0.248 0.442 Sr
0.250 0.752 0.558 Sr
0.250 0.364 0.641 Bi
0.750 0.136 0.141 Bi
0.750 0.636 0.359 Bi
0.250 0.864 0.859 Bi
```



NbTlSe2: relaxed, PBE.

Summary:
- DOS at the Fermi energy: 5.8 states/eV per cell
- Uncorrected formation energy: -449 meV/atom

Cell and atoms, written as POSCAR:
```
NbTlSe2
1.0
8.338 0.000 0.000
0.000 8.338 0.000
4.169 4.169 3.240
Se Nb Tl
4 2 2
direct
0.836 0.336 0.000 Se
0.336 0.164 0.000 Se
0.664 0.836 0.000 Se
0.164 0.664 0.000 Se
0.750 0.250 0.500 Nb
0.250 0.750 0.500 Nb
0.750 0.750 0.500 Tl
0.250 0.250 0.500 Tl
```



MgSn2Rh3: relaxed, PBE.

Summary:
- DOS at the Fermi energy: 2.6 states/eV per cell
- Formation energy from the elements: -481 meV per atom
- Offset from the most stable computed form: 56.3 meV/atom

Cell and atoms, written as POSCAR:
```
MgSn2Rh3
1.0
3.274 0.000 0.000
0.000 3.274 0.000
0.000 0.000 9.318
Sn Rh Mg
2 3 1
direct
0.500 0.500 0.827 Sn
0.500 0.500 0.173 Sn
0.000 0.000 0.333 Rh
0.000 0.000 0.667 Rh
0.000 0.000 0.000 Rh
0.500 0.500 0.500 Mg
```



Hf6TeC2: relaxed, PBE.

Summary:
- DOS at the Fermi energy: 11.0 states/eV per cell
- Uncorrected formation energy: -252 meV/atom

Cell and atoms, written as POSCAR:
```
Hf6TeC2
1.0
5.824 0.270 0.261
2.125 7.908 0.325
2.125 0.581 7.894
C Hf Te
4 12 2
direct
0.164 0.306 0.490 C
0.664 0.490 0.306 C
0.336 0.510 0.694 C
0.836 0.694 0.510 C
0.956 0.913 0.351 Hf
0.321 0.135 0.282 Hf
0.958 0.481 0.704 Hf
0.044 0.087 0.649 Hf
0.042 0.519 0.296 Hf
0.458 0.704 0.481 Hf
0.821 0.282 0.135 Hf
0.456 0.351 0.913 Hf
0.179 0.718 0.865 Hf
0.679 0.865 0.718 Hf
0.544 0.649 0.087 Hf
0.542 0.296 0.519 Hf
0.750 0.933 0.067 Te
0.250 0.067 0.933 Te
```